This record from Alexandria describes a relaxed YZr2Au crystal. The functional is GGA-PBE.

E_form	-0.281	eV per atom
density of states at the Fermi level	5.4	states/eV/f.u.
mass density	8.19	g/cm3
SG	C2/m, No. 12
energy above the most stable polymorph in this dataset	0.040	eV/atom
raw total energy	-27.96	eV/cell

Unit cell a=6.347 b=6.347 c=5.058 alpha=66.44 beta=66.44 gamma=30.81
Element x y z (fractional)
1 Zr 0.972 0.972 0.028
2 Zr 0.528 0.528 0.472
3 Au 0.250 0.250 0.250
4 Y 0.750 0.750 0.750